# 1
Computed, not measured: an optimized crystal structure of Ho7Er2In2 at the PBE-GGA level of DFT.

Properties
SG: Cmmm, No. 65
Energy of formation from the pure elements (eV/atom): 0.16

Cell: 6.6690 9.1067 6.6690 Å, 90.00 120.01 90.00°
Fractional positions:
Ho: 0.0000 0.0000 0.0000
Ho: 0.4997 0.2982 0.0002
Ho: 0.9998 0.2982 0.5003
Ho: 0.0002 0.7018 0.4997
Ho: 0.4998 0.1854 0.5002
Ho: 0.5002 0.8146 0.4998
Ho: 0.5003 0.7018 0.9998
In: 0.7291 0.0000 0.2709
In: 0.2709 0.0000 0.7291
Er: 0.7568 0.5000 0.7568
Er: 0.2432 0.5000 0.2432

---

# 2
Computed, not measured: an optimized crystal structure of K3Pa2InTe6 at the PBE-GGA level of DFT.

Properties
SG: C2/m, No. 12
E_form (uncorrected) (eV per atom): -0.891

Cell: 4.5324 9.9706 10.6667 Å, 104.60 102.27 90.00°
Each line ends with the local moment (μB).
Fractional positions:
Te: 0.0218 0.2537 0.0436  -0.03
Te: 0.3298 0.8703 0.6595  -0.03
Te: 0.6755 0.5636 0.3510  -0.03
Te: 0.6702 0.1297 0.3405  -0.03
Te: 0.9782 0.7463 0.9564  -0.03
Te: 0.3245 0.4364 0.6490  -0.03
K: 0.1551 0.8428 0.3101  0.00
K: 0.8449 0.1572 0.6899  0.00
K: 0.5000 0.5000 0.0000  0.00
Pa: 0.1681 0.3404 0.3362  1.00
Pa: 0.8319 0.6596 0.6638  1.00
In: 0.5000 0.0000 0.0000  -0.01

---

# 3
Computed, not measured: an optimized crystal structure of InSe2BrO at the PBE-GGA level of DFT.

Properties
SG: P4/mmm, No. 123
E_form (uncorrected) (eV per atom): 0.728
Energy relative to the lowest polymorph listed for this composition (meV per atom): 663

Cell: 5.4058 5.4058 5.4365 Å, 90.00 90.00 90.00°
Each line ends with the local moment (μB).
Fractional positions:
Se: 0.5000 0.0000 0.0000  0.65
Se: 0.0000 0.5000 0.0000  0.65
O: 0.5000 0.5000 0.5000  1.44
Br: 0.0000 0.0000 0.5000  0.13
In: 0.0000 0.0000 0.0000  -0.03

---

# 4
Computed, not measured: an optimized crystal structure of Hf3HgF at the PBE-GGA level of DFT.

Properties
SG: Pm-3m, No. 221
E_form (uncorrected) (eV per atom): -0.343
Energy relative to the lowest polymorph listed for this composition (meV per atom): 0

Cell: 4.5394 4.5394 4.5394 Å, 90.00 90.00 90.00°
Fractional positions:
Hf: 0.0000 0.5000 0.0000
Hf: 0.5000 0.0000 0.0000
Hf: 0.0000 0.0000 0.5000
Hg: 0.5000 0.5000 0.5000
F: 0.0000 0.0000 0.0000